Entry from Alexandria via LeMat-Bulk: a geometry-optimized K2UZn2O6 structure (PBE).

The structure in POSCAR format:
```
K2UZn2O6
1.0
-2.529 -5.514 -0.777
1.313 -3.291 -4.984
4.073 -5.383 0.876
K U Zn O
2 1 2 6
Direct
0.791 0.791 0.627
0.209 0.209 0.373
0.000 0.000 0.000
0.409 0.409 0.773
0.591 0.591 0.227
0.770 0.770 0.221
0.238 0.770 0.221
0.770 0.238 0.221
0.230 0.762 0.779
0.762 0.230 0.779
0.230 0.230 0.779
```

Calculated values
N(E_F)   0.00 states/eV/atom
Density   4.78 g/cm3
E_tot   -6.2577 eV per atom
ΔE_f (raw)   -2.0958 eV/atom
V   17.14 Å³/atom